Entry 1:
{"formula": "Na2HgTeS4", "functional": "PBE", "state": "relaxed", "sg": "C2/c", "final_energy_ev_per_cell": -52.22, "m_tot_mub_per_atom": 0.00, "mass_density_g_cm3": 4.48, "cell": [[5.439, -5.872, 0.000], [5.439, 5.872, 0.000], [-5.199, 0.000, 5.833]], "species": ["Na", "Na", "Na", "Na", "Hg", "Hg", "Te", "Te", "S", "S", "S", "S", "S", "S", "S", "S"], "fractional_positions": [[0.000, 0.000, 0.000], [0.000, 0.000, 0.500], [0.000, 0.500, 0.000], [0.500, 0.000, 0.500], [0.000, 0.500, 0.500], [0.500, 0.000, 0.000], [0.500, 0.500, 0.000], [0.500, 0.500, 0.500], [0.238, 0.702, 0.484], [0.260, 0.283, 0.033], [0.283, 0.260, 0.533], [0.298, 0.762, 0.016], [0.702, 0.238, 0.984], [0.717, 0.740, 0.467], [0.740, 0.717, 0.967], [0.762, 0.298, 0.516]]}

Entry 2:
{"formula": "AcNd2Au", "functional": "PBE", "state": "relaxed", "ef_ev_per_atom": -0.3542, "sg": "P4/mmm", "m_tot_mub_per_atom": 0.00, "mass_density_g_cm3": 9.14, "relative_energy_ev_per_atom": 0.033, "cell": [[3.792, 0.000, 0.000], [0.000, 3.792, 0.000], [0.000, 0.000, 8.996]], "species": ["Ac", "Nd", "Nd", "Au"], "fractional_positions": [[0.000, 0.000, 0.000], [0.500, 0.500, 0.303], [0.500, 0.500, 0.697], [0.000, 0.000, 0.500]]}

Entry 3:
{"formula": "TcRh2", "functional": "PBE", "state": "relaxed", "ef_ev_per_atom": -0.1091, "sg": "C2/m", "m_tot_mub_per_atom": 0.00, "mass_density_g_cm3": 11.82, "relative_energy_ev_per_atom": 0.037, "cell": [[4.968, -1.369, 0.000], [4.968, 1.369, 0.000], [-1.575, 0.000, 6.280]], "species": ["Tc", "Tc", "Rh", "Rh", "Rh", "Rh"], "fractional_positions": [[0.196, 0.196, 0.137], [0.804, 0.804, 0.863], [0.142, 0.142, 0.534], [0.472, 0.472, 0.190], [0.528, 0.528, 0.810], [0.858, 0.858, 0.466]]}

Entry 4:
{"formula": "Ac3Si3Ge", "functional": "PBE", "state": "relaxed", "sg": "Imm2", "final_energy_ev_per_cell": -37.27, "m_tot_mub_per_atom": 0.00, "mass_density_g_cm3": 7.41, "cell": [[-2.071, 2.392, 9.479], [2.071, -2.392, 9.479], [2.071, 2.392, -9.479]], "species": ["Ac", "Ac", "Ac", "Si", "Si", "Si", "Ge"], "fractional_positions": [[0.000, 0.000, 0.000], [0.184, 0.684, 0.500], [0.363, 0.363, 0.000], [0.539, 0.539, 0.000], [0.750, 0.250, 0.500], [0.822, 0.822, 0.000], [0.618, 0.118, 0.500]]}

Entry 5:
{"formula": "Li13Sn3", "functional": "PBE", "state": "relaxed", "ef_ev_per_atom": -0.2621, "sg": "Amm2", "m_tot_mub_per_atom": 0.00, "mass_density_g_cm3": 2.51, "cell": [[9.649, 0.000, 0.000], [0.000, 3.089, 4.957], [0.000, -3.089, 4.957]], "species": ["Li", "Li", "Li", "Li", "Li", "Li", "Li", "Li", "Li", "Li", "Li", "Li", "Li", "Sn", "Sn", "Sn"], "fractional_positions": [[0.000, 0.000, 0.000], [0.000, 0.431, 0.431], [0.000, 0.484, 0.946], [0.000, 0.946, 0.484], [0.259, 0.183, 0.706], [0.259, 0.706, 0.183], [0.261, 0.696, 0.696], [0.500, 0.359, 0.903], [0.500, 0.369, 0.369], [0.500, 0.903, 0.359], [0.739, 0.696, 0.696], [0.741, 0.183, 0.706], [0.741, 0.706, 0.183], [0.235, 0.202, 0.202], [0.500, 0.871, 0.871], [0.765, 0.202, 0.202]]}

Entry 6:
{"formula": "DySc2AgO", "functional": "PBE", "state": "relaxed", "sg": "P4/mmm", "final_energy_ev_per_cell": -31.51, "m_tot_mub_per_atom": 0.00, "mass_density_g_cm3": 6.69, "cell": [[4.433, 0.000, 0.000], [0.000, 4.433, 0.000], [0.000, 0.000, 4.748]], "species": ["Dy", "Sc", "Sc", "Ag", "O"], "fractional_positions": [[0.000, 0.000, 0.000], [0.000, 0.500, 0.500], [0.500, 0.000, 0.500], [0.500, 0.500, 0.000], [0.000, 0.000, 0.500]]}

Entry 7:
{"formula": "TiNbPt2W", "functional": "PBE", "state": "relaxed", "ef_ev_per_atom": 1.4705, "sg": "P4/mmm", "m_tot_mub_per_atom": 0.31, "mass_density_g_cm3": 11.23, "cell": [[4.807, 0.000, 0.000], [0.000, 4.807, 0.000], [0.000, 0.000, 4.576]], "species": ["Ti", "Nb", "Pt", "Pt", "W"], "fractional_positions": [[0.000, 0.000, 0.000], [0.000, 0.000, 0.500], [0.000, 0.500, 0.500], [0.500, 0.000, 0.500], [0.500, 0.500, 0.000]]}

Entry 8:
{"formula": "Er3Mg2Ni2", "functional": "PBE", "state": "relaxed", "ef_ev_per_atom": -0.2988, "sg": "Cmmm", "m_tot_mub_per_atom": 0.03, "mass_density_g_cm3": 7.11, "relative_energy_ev_per_atom": 0.000, "cell": [[1.942, -11.032, 0.000], [1.942, 11.032, 0.000], [0.000, 0.000, 3.643]], "species": ["Er", "Er", "Er", "Mg", "Mg", "Ni", "Ni"], "fractional_positions": [[0.000, 0.000, 0.000], [0.179, 0.821, 0.000], [0.821, 0.179, 0.000], [0.411, 0.589, 0.500], [0.589, 0.411, 0.500], [0.282, 0.718, 0.500], [0.718, 0.282, 0.500]]}

Entry 9:
{"formula": "CrTc2Pt", "functional": "PBE", "state": "relaxed", "ef_ev_per_atom": -0.0279, "sg": "P4/mmm", "m_tot_mub_per_atom": 0.00, "mass_density_g_cm3": 13.07, "relative_energy_ev_per_atom": 0.070, "cell": [[2.704, 0.000, 0.000], [0.000, 2.704, 0.000], [0.000, 0.000, 7.699]], "species": ["Cr", "Tc", "Tc", "Pt"], "fractional_positions": [[0.000, 0.000, 0.000], [0.500, 0.500, 0.230], [0.500, 0.500, 0.770], [0.000, 0.000, 0.500]]}

Entry 10:
{"formula": "Pm8ZnIn6", "functional": "PBE", "state": "relaxed", "ef_ev_per_atom": -0.2380, "sg": "R-3", "m_tot_mub_per_atom": 0.00, "mass_density_g_cm3": 6.73, "cell": [[4.667, 2.695, 6.262], [-4.667, 2.695, 6.262], [0.000, -5.390, 6.262]], "species": ["Pm", "Pm", "Pm", "Pm", "Pm", "Pm", "Pm", "Pm", "Zn", "In", "In", "In", "In", "In", "In"], "fractional_positions": [[0.142, 0.393, 0.641], [0.214, 0.214, 0.214], [0.359, 0.858, 0.607], [0.393, 0.641, 0.142], [0.607, 0.359, 0.858], [0.641, 0.142, 0.393], [0.786, 0.786, 0.786], [0.858, 0.607, 0.359], [0.500, 0.500, 0.500], [0.078, 0.845, 0.407], [0.155, 0.593, 0.922], [0.407, 0.078, 0.845], [0.593, 0.922, 0.155], [0.845, 0.407, 0.078], [0.922, 0.155, 0.593]]}

Entry 11:
{"formula": "KTiCl6", "functional": "PBE", "state": "relaxed", "sg": "C2/m", "final_energy_ev_per_cell": -30.96, "m_tot_mub_per_atom": 0.09, "mass_density_g_cm3": 2.21, "cell": [[3.955, -4.618, 0.000], [3.955, 4.618, 0.000], [-1.443, 0.000, 6.152]], "species": ["K", "Ti", "Cl", "Cl", "Cl", "Cl", "Cl", "Cl"], "fractional_positions": [[0.000, 0.000, 0.000], [0.500, 0.500, 0.500], [0.215, 0.570, 0.239], [0.233, 0.233, 0.602], [0.430, 0.785, 0.761], [0.570, 0.215, 0.239], [0.767, 0.767, 0.398], [0.785, 0.430, 0.761]]}

Entry 12:
{"formula": "Ca2La7Pr2", "functional": "PBE", "state": "relaxed", "ef_ev_per_atom": 0.0965, "sg": "C2/m", "m_tot_mub_per_atom": 0.00, "mass_density_g_cm3": 5.37, "cell": [[3.564, -5.629, 0.000], [3.564, 5.629, 0.000], [-0.324, 0.000, 10.276]], "species": ["Ca", "Ca", "La", "La", "La", "La", "La", "La", "La", "Pr", "Pr"], "fractional_positions": [[0.224, 0.776, 0.000], [0.776, 0.224, 0.000], [0.089, 0.672, 0.647], [0.179, 0.179, 0.775], [0.328, 0.911, 0.353], [0.500, 0.500, 0.500], [0.672, 0.089, 0.647], [0.821, 0.821, 0.225], [0.911, 0.328, 0.353], [0.344, 0.344, 0.144], [0.656, 0.656, 0.856]]}